P:
{"formula": "TlTc2Br", "functional": "PBE-GGA", "state": "relaxed", "lattice_angstrom": [[4.706, 0.000, 0.000], [0.000, 3.079, 0.000], [-1.865, 0.000, 4.998]], "species": ["Tl", "Tc", "Tc", "Br"], "frac_coords": [[0.000, 0.000, 0.000], [0.500, 0.000, 0.500], [0.500, 0.500, 0.000], [0.000, 0.500, 0.500]], "mass_density_g_cm3": 11.0, "spacegroup": "P2/m (10)", "dos_ef_per_ev_cell": 5.3}

---

Q:
{"formula": "TlTc2Br", "functional": "PBE-GGA", "state": "relaxed", "lattice_angstrom": [[3.138, 0.000, 0.000], [0.000, 3.080, 0.000], [-1.535, 0.000, 8.491]], "species": ["Tl", "Tc", "Tc", "Br"], "frac_coords": [[0.000, 0.000, 0.000], [0.203, 0.000, 0.414], [0.623, 0.500, 0.252], [0.326, 0.500, 0.660]], "mass_density_g_cm3": 9.7, "spacegroup": "Pm (6)", "dos_ef_per_ev_cell": 2.8}

---

The structure with the most favorable energy is Q; the runner-up is 712 meV/atom above it.

---

P:
{"formula": "TlTcBr", "functional": "PBE-GGA", "state": "relaxed", "lattice_angstrom": [[6.737, 0.000, 0.000], [0.000, 6.737, 0.000], [0.000, 0.000, 6.737]], "species": ["Tl", "Tl", "Tl", "Tl", "Tc", "Tc", "Tc", "Tc", "Br", "Br", "Br", "Br"], "frac_coords": [[0.000, 0.000, 0.000], [0.000, 0.500, 0.500], [0.500, 0.000, 0.500], [0.500, 0.500, 0.000], [0.250, 0.250, 0.750], [0.250, 0.750, 0.250], [0.750, 0.250, 0.250], [0.750, 0.750, 0.750], [0.000, 0.000, 0.500], [0.000, 0.500, 0.000], [0.500, 0.000, 0.000], [0.500, 0.500, 0.500]], "mass_density_g_cm3": 8.3, "spacegroup": "F-43m (216)", "dos_ef_per_ev_cell": 9.4}

---

Q:
{"formula": "TlTcBr", "functional": "PBE-GGA", "state": "relaxed", "lattice_angstrom": [[3.309, 0.000, 0.000], [0.000, 3.309, 0.000], [0.000, 0.000, 12.988]], "species": ["Tl", "Tl", "Tc", "Tc", "Br", "Br"], "frac_coords": [[0.000, 0.000, 0.000], [0.500, 0.500, 0.500], [0.000, 0.000, 0.644], [0.500, 0.500, 0.144], [0.000, 0.000, 0.272], [0.500, 0.500, 0.772]], "mass_density_g_cm3": 8.9, "spacegroup": "I4mm (107)", "dos_ef_per_ev_cell": 3.6}

---

The structure with the most favorable energy is Q; the runner-up is 230 meV/atom above it.

---

P:
{"formula": "TlTcBr3", "functional": "PBE-GGA", "state": "relaxed", "lattice_angstrom": [[5.285, 0.000, 0.000], [0.000, 5.285, 0.000], [0.000, 0.000, 5.285]], "species": ["Tl", "Tc", "Br", "Br", "Br"], "frac_coords": [[0.000, 0.000, 0.000], [0.500, 0.500, 0.500], [0.000, 0.500, 0.500], [0.500, 0.000, 0.500], [0.500, 0.500, 0.000]], "mass_density_g_cm3": 6.1, "spacegroup": "Pm-3m (221)", "dos_ef_per_ev_cell": 2.7}

---

Q:
{"formula": "TlTcBr3", "functional": "PBE-GGA", "state": "relaxed", "lattice_angstrom": [[5.072, 0.000, 0.000], [0.010, 6.637, 0.000], [2.529, 2.476, 11.584]], "species": ["Tl", "Tl", "Tc", "Tc", "Br", "Br", "Br", "Br", "Br", "Br"], "frac_coords": [[0.206, 0.217, 0.087], [0.794, 0.783, 0.913], [0.250, 0.999, 0.500], [0.750, 0.001, 0.500], [0.054, 0.307, 0.390], [0.212, 0.721, 0.077], [0.423, 0.131, 0.655], [0.577, 0.869, 0.345], [0.788, 0.279, 0.923], [0.946, 0.693, 0.610]], "mass_density_g_cm3": 4.6, "spacegroup": "P-1 (2)", "dos_ef_per_ev_cell": 3.5}

---

The structure with the most favorable energy is Q; the runner-up is 67 meV/atom above it.

---

P:
{"formula": "Tm2TcBr", "functional": "PBE-GGA", "state": "relaxed", "lattice_angstrom": [[3.425, 0.000, 0.000], [0.000, 3.425, 0.000], [0.000, 0.000, 7.913]], "species": ["Tm", "Tm", "Tc", "Br"], "frac_coords": [[0.000, 0.000, 0.202], [0.000, 0.000, 0.798], [0.500, 0.500, 0.000], [0.500, 0.500, 0.500]], "mass_density_g_cm3": 9.2, "spacegroup": "P4/mmm (123)", "dos_ef_per_ev_cell": 2.1}

---

Q:
{"formula": "Tm2TcBr", "functional": "PBE-GGA", "state": "relaxed", "lattice_angstrom": [[3.584, 0.000, 0.000], [-1.792, 3.104, 0.000], [0.000, 0.000, 25.401]], "species": ["Tm", "Tm", "Tm", "Tm", "Tm", "Tm", "Tc", "Tc", "Tc", "Br", "Br", "Br"], "frac_coords": [[0.000, 0.000, 0.241], [0.000, 0.000, 0.759], [0.333, 0.667, 0.426], [0.333, 0.667, 0.907], [0.667, 0.333, 0.093], [0.667, 0.333, 0.574], [0.000, 0.000, 0.500], [0.333, 0.667, 0.167], [0.667, 0.333, 0.833], [0.000, 0.000, 0.000], [0.333, 0.667, 0.667], [0.667, 0.333, 0.333]], "mass_density_g_cm3": 9.1, "spacegroup": "R-3m (166)", "dos_ef_per_ev_cell": 7.5}

---

The structure with the most favorable energy is P; the runner-up is 92 meV/atom above it.

---

P:
{"formula": "VTc2Br", "functional": "PBE-GGA", "state": "relaxed", "lattice_angstrom": [[5.539, 0.000, 0.000], [0.000, 5.539, 0.000], [0.000, 0.000, 10.933]], "species": ["V", "V", "V", "V", "Tc", "Tc", "Tc", "Tc", "Tc", "Tc", "Tc", "Tc", "Br", "Br", "Br", "Br"], "frac_coords": [[0.000, 0.000, 0.000], [0.000, 0.500, 0.250], [0.500, 0.000, 0.750], [0.500, 0.500, 0.500], [0.228, 0.250, 0.125], [0.250, 0.728, 0.375], [0.250, 0.772, 0.875], [0.272, 0.250, 0.625], [0.728, 0.750, 0.625], [0.750, 0.228, 0.875], [0.750, 0.272, 0.375], [0.772, 0.750, 0.125], [0.000, 0.000, 0.500], [0.000, 0.500, 0.750], [0.500, 0.000, 0.250], [0.500, 0.500, 0.000]], "mass_density_g_cm3": 6.5, "spacegroup": "I-42d (122)", "dos_ef_per_ev_cell": 17.2}

---

Q:
{"formula": "VTc2Br", "functional": "PBE-GGA", "state": "relaxed", "lattice_angstrom": [[6.209, 0.000, 0.000], [0.000, 6.209, 0.000], [0.000, 0.000, 6.209]], "species": ["V", "V", "V", "V", "Tc", "Tc", "Tc", "Tc", "Tc", "Tc", "Tc", "Tc", "Br", "Br", "Br", "Br"], "frac_coords": [[0.000, 0.000, 0.000], [0.000, 0.500, 0.500], [0.500, 0.000, 0.500], [0.500, 0.500, 0.000], [0.250, 0.250, 0.250], [0.250, 0.250, 0.750], [0.250, 0.750, 0.250], [0.250, 0.750, 0.750], [0.750, 0.250, 0.250], [0.750, 0.250, 0.750], [0.750, 0.750, 0.250], [0.750, 0.750, 0.750], [0.000, 0.000, 0.500], [0.000, 0.500, 0.000], [0.500, 0.000, 0.000], [0.500, 0.500, 0.500]], "mass_density_g_cm3": 9.1, "spacegroup": "Fm-3m (225)", "dos_ef_per_ev_cell": 19.0}

---

The structure with the most favorable energy is Q; the runner-up is 382 meV/atom above it.

---

P:
{"formula": "V3TcBr", "functional": "PBE-GGA", "state": "relaxed", "lattice_angstrom": [[4.759, 0.000, 0.000], [0.000, 4.759, 0.000], [0.000, 0.000, 4.759]], "species": ["V", "V", "V", "Tc", "Br"], "frac_coords": [[0.000, 0.000, 0.500], [0.000, 0.500, 0.000], [0.500, 0.000, 0.000], [0.000, 0.000, 0.000], [0.500, 0.500, 0.500]], "mass_density_g_cm3": 5.1, "spacegroup": "Pm-3m (221)", "dos_ef_per_ev_cell": 11.0}

---

Q:
{"formula": "V3TcBr", "functional": "PBE-GGA", "state": "relaxed", "lattice_angstrom": [[4.428, 0.000, 0.000], [0.000, 4.428, 0.000], [0.000, 0.000, 4.428]], "species": ["V", "V", "V", "Tc", "Br"], "frac_coords": [[0.000, 0.000, 0.500], [0.000, 0.500, 0.000], [0.500, 0.000, 0.000], [0.500, 0.500, 0.500], [0.000, 0.000, 0.000]], "mass_density_g_cm3": 6.3, "spacegroup": "Pm-3m (221)", "dos_ef_per_ev_cell": 6.1}

---

The structure with the most favorable energy is P; the runner-up is 96 meV/atom above it.